(1)
# KSr2Au2 | the Alexandria database | PBE | optimized geometry
# - ΔH_f (0 K): -0.44 eV/atom
# - Calculated total energy: -2.65 eV per atom
data_KSr2Au2
_space_group_name_H-M_alt 'I 4/m m m'
_space_group_IT_number 139
_space_group_name_Hall '-I 4 2'
_cell_length_a 5.3886
_cell_length_b 5.3886
_cell_length_c 12.4821
_cell_angle_alpha 90.00
_cell_angle_beta 90.00
_cell_angle_gamma 90.00
loop_
_atom_site_label
_atom_site_fract_x
_atom_site_fract_y
_atom_site_fract_z
K1 0.0000 0.0000 0.0000
Sr1 0.0000 0.5000 0.2500
Au1 0.0000 0.0000 0.3879

---

(2)
# KSrTe2Au | the Alexandria database | PBE | optimized geometry
# - Calculated total energy: -3.47 eV per atom
# - E_form (uncorrected): -1006 meV/atom
data_KSrTe2Au
_space_group_name_H-M_alt 'C m m e'
_space_group_IT_number 67
_space_group_name_Hall '-C 2a 2'
_cell_length_a 8.6160
_cell_length_b 17.2136
_cell_length_c 5.5929
_cell_angle_alpha 90.00
_cell_angle_beta 90.00
_cell_angle_gamma 90.00
loop_
_atom_site_label
_atom_site_fract_x
_atom_site_fract_y
_atom_site_fract_z
K1 0.0000 0.2500 0.2249
Sr1 0.2500 0.0000 0.5000
Te1 0.0000 0.1250 0.7327
Au1 0.0000 0.0000 0.0000

---

(3)
# KSrTlAu | the Alexandria database | PBE | optimized geometry
# - ΔH_f (0 K): -0.23 eV/atom
# - Calculated total energy: -2.34 eV per atom
data_KSrTlAu
_space_group_name_H-M_alt 'F -4 3 m'
_space_group_IT_number 216
_space_group_name_Hall 'F -4 2 3'
_cell_length_a 8.0136
_cell_length_b 8.0136
_cell_length_c 8.0136
_cell_angle_alpha 90.00
_cell_angle_beta 90.00
_cell_angle_gamma 90.00
loop_
_atom_site_label
_atom_site_fract_x
_atom_site_fract_y
_atom_site_fract_z
K1 0.0000 0.0000 0.0000
Sr1 0.0000 0.0000 0.5000
Tl1 0.2500 0.2500 0.2500
Au1 0.2500 0.2500 0.7500

---

(4)
# KTa2Au | the Alexandria database | PBE | optimized geometry
# - ΔH_f (0 K): 1.06 eV/atom
# - Calculated total energy: -5.96 eV per atom
# - Energy relative to the lowest polymorph listed for this composition: 0.687 eV/atom
data_KTa2Au
_space_group_name_H-M_alt 'C m m m'
_space_group_IT_number 65
_space_group_name_Hall '-C 2 2'
_cell_length_a 5.6374
_cell_length_b 10.9105
_cell_length_c 2.7601
_cell_angle_alpha 90.00
_cell_angle_beta 90.00
_cell_angle_gamma 90.00
loop_
_atom_site_label
_atom_site_fract_x
_atom_site_fract_y
_atom_site_fract_z
K1 0.0000 0.0000 0.0000
Ta1 0.2500 0.2500 0.5000
Au1 0.0000 0.5000 0.0000

---

(5)
# KTaAu2 | the Alexandria database | PBE | optimized geometry
# - ΔH_f (0 K): 0.30 eV/atom
# - Calculated total energy: -4.57 eV per atom
# - Energy relative to the lowest polymorph listed for this composition: 0.235 eV/atom
data_KTaAu2
_space_group_name_H-M_alt 'R -3 m'
_space_group_IT_number 166
_space_group_name_Hall '-R 3 2"'
_cell_length_a 3.0774
_cell_length_b 3.0774
_cell_length_c 31.1799
_cell_angle_alpha 90.00
_cell_angle_beta 90.00
_cell_angle_gamma 120.00
loop_
_atom_site_label
_atom_site_fract_x
_atom_site_fract_y
_atom_site_fract_z
K1 0.0000 0.0000 0.0000
Ta1 0.0000 0.0000 0.5000
Au1 0.0000 0.0000 0.2393

---

(6)
# KTa2Au | the Alexandria database | PBE | optimized geometry
# - ΔH_f (0 K): 0.58 eV/atom
# - Calculated total energy: -6.44 eV per atom
# - Energy relative to the lowest polymorph listed for this composition: 0.200 eV/atom
data_KTa2Au
_space_group_name_H-M_alt 'I m m m'
_space_group_IT_number 71
_space_group_name_Hall '-I 2 2'
_cell_length_a 2.7405
_cell_length_b 5.3114
_cell_length_c 12.0697
_cell_angle_alpha 90.00
_cell_angle_beta 90.00
_cell_angle_gamma 90.00
loop_
_atom_site_label
_atom_site_fract_x
_atom_site_fract_y
_atom_site_fract_z
K1 0.0000 0.0000 0.0000
Ta1 0.0000 0.5000 0.2139
Au1 0.0000 0.0000 0.5000

---

(7)
# K2TaAu | the Alexandria database | PBE | optimized geometry
# - ΔH_f (0 K): 1.35 eV/atom
# - Calculated total energy: -2.98 eV per atom
# - Energy relative to the lowest polymorph listed for this composition: 0.822 eV/atom
data_K2TaAu
_space_group_name_H-M_alt 'F m -3 m'
_space_group_IT_number 225
_space_group_name_Hall '-F 4 2 3'
_cell_length_a 8.0950
_cell_length_b 8.0950
_cell_length_c 8.0950
_cell_angle_alpha 90.00
_cell_angle_beta 90.00
_cell_angle_gamma 90.00
loop_
_atom_site_label
_atom_site_fract_x
_atom_site_fract_y
_atom_site_fract_z
K1 0.2500 0.2500 0.2500
Ta1 0.0000 0.0000 0.0000
Au1 0.0000 0.0000 0.5000

---

(8)
# KTaAu2 | the Alexandria database | PBE | optimized geometry
# - ΔH_f (0 K): 0.39 eV/atom
# - Calculated total energy: -4.49 eV per atom
# - Energy relative to the lowest polymorph listed for this composition: 0.322 eV/atom
data_KTaAu2
_space_group_name_H-M_alt 'P 4 m m'
_space_group_IT_number 99
_space_group_name_Hall 'P 4 -2'
_cell_length_a 2.9651
_cell_length_b 2.9651
_cell_length_c 9.9802
_cell_angle_alpha 90.00
_cell_angle_beta 90.00
_cell_angle_gamma 90.00
loop_
_atom_site_label
_atom_site_fract_x
_atom_site_fract_y
_atom_site_fract_z
K1 0.0000 0.0000 0.0000
Ta1 0.5000 0.5000 0.3273
Au1 0.0000 0.0000 0.5235
Au2 0.5000 0.5000 0.7383

---

(9)
# KTaAu2 | the Alexandria database | PBE | optimized geometry
# - ΔH_f (0 K): 0.20 eV/atom
# - Calculated total energy: -4.68 eV per atom
# - Energy relative to the lowest polymorph listed for this composition: 0.132 eV/atom
data_KTaAu2
_space_group_name_H-M_alt 'C m m m'
_space_group_IT_number 65
_space_group_name_Hall '-C 2 2'
_cell_length_a 7.6750
_cell_length_b 7.6902
_cell_length_c 2.8000
_cell_angle_alpha 90.00
_cell_angle_beta 90.00
_cell_angle_gamma 90.00
loop_
_atom_site_label
_atom_site_fract_x
_atom_site_fract_y
_atom_site_fract_z
K1 0.0000 0.0000 0.0000
Ta1 0.0000 0.5000 0.0000
Au1 0.2500 0.2500 0.5000

---

(10)
# K3TaAu | the Alexandria database | PBE | optimized geometry
# - ΔH_f (0 K): 1.13 eV/atom
# - Calculated total energy: -2.56 eV per atom
# - Energy relative to the lowest polymorph listed for this composition: 0.000 eV/atom
data_K3TaAu
_space_group_name_H-M_alt 'P m -3 m'
_space_group_IT_number 221
_space_group_name_Hall '-P 4 2 3'
_cell_length_a 6.1966
_cell_length_b 6.1966
_cell_length_c 6.1966
_cell_angle_alpha 90.00
_cell_angle_beta 90.00
_cell_angle_gamma 90.00
loop_
_atom_site_label
_atom_site_fract_x
_atom_site_fract_y
_atom_site_fract_z
K1 0.0000 0.0000 0.5000
Ta1 0.5000 0.5000 0.5000
Au1 0.0000 0.0000 0.0000

---

(11)
# K2TaAu | the Alexandria database | PBE | optimized geometry
# - ΔH_f (0 K): 0.97 eV/atom
# - Calculated total energy: -3.36 eV per atom
# - Energy relative to the lowest polymorph listed for this composition: 0.446 eV/atom
data_K2TaAu
_space_group_name_H-M_alt 'I 4/m m m'
_space_group_IT_number 139
_space_group_name_Hall '-I 4 2'
_cell_length_a 4.0936
_cell_length_b 4.0936
_cell_length_c 11.9427
_cell_angle_alpha 90.00
_cell_angle_beta 90.00
_cell_angle_gamma 90.00
loop_
_atom_site_label
_atom_site_fract_x
_atom_site_fract_y
_atom_site_fract_z
K1 0.0000 0.5000 0.2500
Ta1 0.0000 0.0000 0.0000
Au1 0.0000 0.0000 0.5000

---

(12)
# KTaAu2 | the Alexandria database | PBE | optimized geometry
# - ΔH_f (0 K): 0.65 eV/atom
# - Calculated total energy: -4.22 eV per atom
# - Energy relative to the lowest polymorph listed for this composition: 0.587 eV/atom
data_KTaAu2
_space_group_name_H-M_alt 'I -4 2 d'
_space_group_IT_number 122
_space_group_name_Hall 'I -4 2bw'
_cell_length_a 7.8490
_cell_length_b 7.8490
_cell_length_c 7.3038
_cell_angle_alpha 90.00
_cell_angle_beta 90.00
_cell_angle_gamma 90.00
loop_
_atom_site_label
_atom_site_fract_x
_atom_site_fract_y
_atom_site_fract_z
K1 0.0000 0.0000 0.0000
Ta1 0.0000 0.0000 0.5000
Au1 0.1823 0.2500 0.6250

---

What did the sixth record say?
# KTa2Au | the Alexandria database | PBE | optimized geometry
# - ΔH_f (0 K): 0.58 eV/atom
# - Calculated total energy: -6.44 eV per atom
# - Energy relative to the lowest polymorph listed for this composition: 0.200 eV/atom
data_KTa2Au
_space_group_name_H-M_alt 'I m m m'
_space_group_IT_number 71
_space_group_name_Hall '-I 2 2'
_cell_length_a 2.7405
_cell_length_b 5.3114
_cell_length_c 12.0697
_cell_angle_alpha 90.00
_cell_angle_beta 90.00
_cell_angle_gamma 90.00
loop_
_atom_site_label
_atom_site_fract_x
_atom_site_fract_y
_atom_site_fract_z
K1 0.0000 0.0000 0.0000
Ta1 0.0000 0.5000 0.2139
Au1 0.0000 0.0000 0.5000

---

> Which formula does entry 11 have?

K2TaAu

---

Repeat the twelfth record exactly.
# KTaAu2 | the Alexandria database | PBE | optimized geometry
# - ΔH_f (0 K): 0.65 eV/atom
# - Calculated total energy: -4.22 eV per atom
# - Energy relative to the lowest polymorph listed for this composition: 0.587 eV/atom
data_KTaAu2
_space_group_name_H-M_alt 'I -4 2 d'
_space_group_IT_number 122
_space_group_name_Hall 'I -4 2bw'
_cell_length_a 7.8490
_cell_length_b 7.8490
_cell_length_c 7.3038
_cell_angle_alpha 90.00
_cell_angle_beta 90.00
_cell_angle_gamma 90.00
loop_
_atom_site_label
_atom_site_fract_x
_atom_site_fract_y
_atom_site_fract_z
K1 0.0000 0.0000 0.0000
Ta1 0.0000 0.0000 0.5000
Au1 0.1823 0.2500 0.6250